(1)
A geometry-optimized BeH2BrO structure, computed with PBE.

Properties
Electronic total energy in eV for the cell shown: -14.85
Symmetry: P4/mmm (123)
V in A^3/atom: 10.69
Magnetization in Bohr magnetons per cell: 0.0

abc: 3.1976 5.2294 3.1976
angles: 90.00 90.00 90.00
Fractional positions:
Be  0.0000  0.5000  0.0000
O  0.5000  0.5000  0.5000
Br  0.0000  0.0000  0.0000
H  0.0000  0.0000  0.5000
H  0.5000  0.0000  0.0000

(2)
A geometry-optimized LiAgCl2 structure, computed with PBE.

Properties
Electronic total energy in eV for the cell shown: -12.47
Symmetry: P2/m (10)
Formation energy without anion corrections in eV/atom: -1.0038
V in A^3/atom: 23.29
Magnetization in Bohr magnetons per cell: 0.0

abc: 3.5343 3.9972 6.6181
angles: 94.78 90.00 90.00
Fractional positions:
Ag  0.5000  0.7500  0.7500
Cl  0.0000  0.0311  0.0150
Cl  0.0000  0.4689  0.4850
Li  0.5000  0.2500  0.2500

(3)
A geometry-optimized AlV4Si2 structure, computed with PBE.

Properties
Electronic total energy in eV for the cell shown: -104.37
Symmetry: P2_1/m (11)
Formation energy without anion corrections in eV/atom: -0.1601
V in A^3/atom: 13.88
Magnetization in Bohr magnetons per cell: 0.0

abc: 6.3486 4.8959 6.9960
angles: 90.00 116.69 90.00
Fractional positions:
Al  0.2188  0.7500  0.2945
Al  0.7812  0.2500  0.7055
V  0.5383  0.4983  0.2092
V  0.0474  0.7500  0.8687
V  0.9526  0.2500  0.1313
V  0.5383  0.0017  0.2092
V  0.0338  0.2500  0.5105
V  0.4617  0.9983  0.7908
V  0.4617  0.5017  0.7908
V  0.9662  0.7500  0.4895
Si  0.7949  0.7500  0.0816
Si  0.2051  0.2500  0.9184
Si  0.3707  0.2500  0.4317
Si  0.6293  0.7500  0.5683

(4)
A geometry-optimized EuGdNiGe structure, computed with PBE.

Properties
Electronic total energy in eV for the cell shown: -36.32
Symmetry: F-43m (216)
Formation enthalpy at 0 K in eV per atom: -0.393
V in A^3/atom: 22.61
Magnetization in Bohr magnetons per cell: 0.5

abc: 5.0385 5.0385 5.0385
angles: 60.00 60.00 60.00
Fractional positions:
Eu  0.5000  0.5000  0.5000
Ni  0.7500  0.7500  0.7500
Ge  0.2500  0.2500  0.2500
Gd  0.0000  0.0000  0.0000

What did the third record say?
A geometry-optimized AlV4Si2 structure, computed with PBE.

Properties
Electronic total energy in eV for the cell shown: -104.37
Symmetry: P2_1/m (11)
Formation energy without anion corrections in eV/atom: -0.1601
V in A^3/atom: 13.88
Magnetization in Bohr magnetons per cell: 0.0

abc: 6.3486 4.8959 6.9960
angles: 90.00 116.69 90.00
Fractional positions:
Al  0.2188  0.7500  0.2945
Al  0.7812  0.2500  0.7055
V  0.5383  0.4983  0.2092
V  0.0474  0.7500  0.8687
V  0.9526  0.2500  0.1313
V  0.5383  0.0017  0.2092
V  0.0338  0.2500  0.5105
V  0.4617  0.9983  0.7908
V  0.4617  0.5017  0.7908
V  0.9662  0.7500  0.4895
Si  0.7949  0.7500  0.0816
Si  0.2051  0.2500  0.9184
Si  0.3707  0.2500  0.4317
Si  0.6293  0.7500  0.5683

- Which value of magnetization does entry 1 give?
  0.0 Bohr magnetons per cell